# Mn2VGa

An optimized crystal structure of Mn2VGa (PBE-GGA, Alexandria via LeMat-Bulk).

a b c (Å): 6.623 6.623 5.206
angles (deg): 90.00 90.00 90.00
Space group I-42d (No. 122)
Inequivalent atoms, fractional coordinates:
Mn  0.227  0.250  0.125 [8 per cell]
V  0.000  0.000  0.000 [4 per cell]
Ga  0.000  0.000  0.500 [4 per cell]

Properties
energy of formation = 0.38 eV per atom
Fermi-level density of states = 13.2 states/eV/cell
uncorrected energy = -0.26596 hartree per atom